Entry 1:
Th4TePSe2 | PBE | relaxed

```
Th4TePSe2
1.0
7.226 0.000 0.000
0.000 4.255 0.000
-2.507 0.000 7.126
Th Te P Se
4 1 1 2
Direct
0.241 0.000 0.225 Th
0.258 0.500 0.776 Th
0.742 0.500 0.224 Th
0.759 0.000 0.775 Th
0.000 0.000 0.500 Te
0.000 0.500 0.000 P
0.500 0.000 0.000 Se
0.500 0.500 0.500 Se
```

Summary:
The uncorrected formation energy is -11.3 eV/f.u. The space group is P2/m.

***

Entry 2:
Tm6Te3PSe2 | PBE | relaxed

```
Tm6Te3PSe2
1.0
3.567 -6.169 0.000
3.567 6.169 0.000
-2.367 0.000 6.913
Tm Te P Se
6 3 1 2
Direct
0.069 0.386 0.210 Tm
0.244 0.244 0.786 Tm
0.386 0.069 0.210 Tm
0.614 0.931 0.790 Tm
0.756 0.756 0.214 Tm
0.931 0.614 0.790 Tm
0.171 0.829 0.500 Te
0.500 0.500 0.500 Te
0.829 0.171 0.500 Te
0.000 0.000 0.000 P
0.334 0.666 0.000 Se
0.666 0.334 0.000 Se
```

Summary:
The uncorrected formation energy is -17.8 eV/f.u. The space group is C2/m.